No. 1
Crystalline Rb3NaTl4Br8 at its relaxed geometry, computed with GGA-PBE.

```
data_Rb3NaTl4Br8
_chemical_formula_sum 'Rb6 Na2 Tl8 Br16'
_cell_length_a 16.599
_cell_length_b 9.584
_cell_length_c 9.583
_cell_angle_alpha 90.00
_cell_angle_beta 125.25
_cell_angle_gamma 90.00
_space_group_name_H-M_alt 'C 1 2/m 1'
_space_group_IT_number 12
loop_
_space_group_symop_operation_xyz
'x,y,z'
'-x,-y,-z'
'-x,y,-z'
'x,-y,z'
'x+1/2,y+1/2,z'
'-x+1/2,-y+1/2,-z'
'-x+1/2,y+1/2,-z'
'x+1/2,-y+1/2,z'
loop_
_atom_site_label
_atom_site_type_symbol
_atom_site_fract_x
_atom_site_fract_y
_atom_site_fract_z
Rb1 Rb 0.000 0.000 0.000
Rb2 Rb 0.250 0.250 0.000
Na1 Na 0.000 0.500 0.000
Tl1 Tl 0.000 0.000 0.500
Tl2 Tl 0.000 0.500 0.500
Tl3 Tl 0.250 0.250 0.500
Br1 Br 0.002 0.262 0.244
Br2 Br 0.241 0.500 0.245
Br3 Br 0.248 0.500 0.743
```

The density of states at the Fermi level comes out at 0.00 states/eV/atom. As for the formation energy (no corrections): -122.3 kJ per mole of atoms. The final energy is -2.9592 eV/atom.

No. 2
Crystalline Rb2NaTmBr6 at its relaxed geometry, computed with GGA-PBE.

```
data_Rb2NaTmBr6
_chemical_formula_sum 'Rb4 Na2 Tm2 Br12'
_cell_length_a 7.865
_cell_length_b 8.103
_cell_length_c 13.702
_cell_angle_alpha 90.00
_cell_angle_beta 124.85
_cell_angle_gamma 90.00
_space_group_name_H-M_alt 'P 1 21/c 1'
_space_group_IT_number 14
loop_
_space_group_symop_operation_xyz
'x,y,z'
'-x,-y,-z'
'-x,y+1/2,-z+1/2'
'x,-y+1/2,z+1/2'
loop_
_atom_site_label
_atom_site_type_symbol
_atom_site_fract_x
_atom_site_fract_y
_atom_site_fract_z
Rb1 Rb 0.233 0.058 0.250
Na1 Na 0.000 0.000 0.500
Tm1 Tm 0.500 0.000 0.000
Br1 Br 0.178 0.196 0.962
Br2 Br 0.269 0.718 0.963
Br3 Br 0.333 0.013 0.759
```

The density of states at the Fermi level comes out at 0.00 states/eV/atom. As for the formation energy (no corrections): -173.4 kJ per mole of atoms. The final energy is -3.5733 eV/atom.

No. 3
Crystalline RbNa2TmBr6 at its relaxed geometry, computed with GGA-PBE.

```
data_RbNa2TmBr6
_chemical_formula_sum 'Rb3 Na6 Tm3 Br18'
_cell_length_a 7.6375
_cell_length_b 7.6375
_cell_length_c 20.9308
_cell_angle_alpha 90.00
_cell_angle_beta 90.00
_cell_angle_gamma 120.00
_space_group_name_H-M_alt 'R 3'
_space_group_IT_number 146
_space_group_name_Hall 'R 3'
loop_
_atom_site_label
_atom_site_type_symbol
_atom_site_fract_x
_atom_site_fract_y
_atom_site_fract_z
Rb1 Rb 0.0000 0.0000 0.0000
Na1 Na 0.0000 0.0000 0.2854
Na2 Na 0.0000 0.0000 0.8019
Tm1 Tm 0.0000 0.0000 0.4785
Br1 Br 0.0038 0.3122 0.5488
Br2 Br 0.0268 0.6082 0.0601
```

The density of states at the Fermi level comes out at 0.00 states/eV/atom. As for the formation energy (no corrections): -166.2 kJ per mole of atoms. The final energy is -3.5342 eV/atom.